Entry 1:
A geometry-optimized ZrIn2Tc structure, computed with PBE.

The calculated formation energy comes out at 0.054 eV/atom. For the excess energy over the best structure of this formula in the dataset, the calculation gives 10.8 kJ/mol of atoms. The total energy is -24.17 eV for the cell shown. Its spin magnetization is 0.519 Bohr magnetons per cell. The calculation puts the density of states at the Fermi level at 0.647 states/eV/atom. The crystal system is monoclinic.

It has space group P2/m (No. 10), with a = 3.0593 Å, b = 4.7043 Å, c = 5.7476 Å, α = 90.00°, β = 104.13° and γ = 90.00°. The distinct sites, in fractional coordinates, are Zr at (0.0000, 0.0000, 0.0000), In at (0.3366, 0.5000, 0.7373) and Tc at (0.5000, 0.0000, 0.5000).

---

Entry 2:
A geometry-optimized Ca3Tm structure, computed with PBE.

The calculated formation energy comes out at 0.151 eV/atom. For the excess energy over the best structure of this formula in the dataset, the calculation gives 1.7 kJ/mol of atoms. The total energy is -19.75 eV for the cell shown. Its spin magnetization is 0.000 Bohr magnetons per cell. The calculation puts the density of states at the Fermi level at 1.551 states/eV/atom. The crystal system is tetragonal.

It has space group I4/mmm (No. 139), with a = 5.3771 Å, b = 5.3771 Å, c = 10.6696 Å, α = 90.00°, β = 90.00° and γ = 90.00°. The distinct sites, in fractional coordinates, are Ca at (0.0000, 0.0000, 0.0000), Ca at (0.0000, 0.5000, 0.2500) and Tm at (0.0000, 0.0000, 0.5000).

---

Entry 3:
A geometry-optimized LiErTe3Pb structure, computed with PBE.

The total energy is -50.23 eV for the cell shown. Its spin magnetization is 0.000 Bohr magnetons per cell. The value obtained for the uncorrected formation energy is -0.92 eV/atom. The crystal system is monoclinic.

It has space group P2_1/m (No. 11), with a = 9.0605 Å, b = 4.3864 Å, c = 9.6954 Å, α = 90.00°, β = 103.67° and γ = 90.00°. The distinct sites, in fractional coordinates, are Li at (0.0830, 0.2500, 0.0854), Er at (0.3305, 0.7500, 0.3343), Te at (0.1051, 0.2500, 0.3740), Te at (0.2326, 0.7500, 0.0116), Te at (0.4314, 0.7500, 0.6627) and Pb at (0.1843, 0.2500, 0.7405).

---

Entry 4:
A geometry-optimized CoTeI2Br structure, computed with PBE.

For the excess energy over the best structure of this formula in the dataset, the calculation gives 83.0 kJ/mol of atoms. The total energy is -9.13 eV for the cell shown. Its spin magnetization is 2.505 Bohr magnetons per cell. The value obtained for the uncorrected formation energy is 1.18 eV/atom. The calculation puts the density of states at the Fermi level at 1.541 states/eV/atom. The crystal system is tetragonal.

It has space group P4/mmm (No. 123), with a = 5.8103 Å, b = 5.8103 Å, c = 5.7278 Å, α = 90.00°, β = 90.00° and γ = 90.00°. The distinct sites, in fractional coordinates, are Co at (0.0000, 0.0000, 0.0000), Te at (0.5000, 0.5000, 0.0000), I at (0.0000, 0.5000, 0.5000) and Br at (0.5000, 0.5000, 0.5000).